1.
## RbGaBP2HO9 (PBE)

Data for RbGaBP2HO9 after structural relaxation.

The structure in CIF format:
```
data_RbGaBP2HO9
_cell_length_a 9.4711
_cell_length_b 8.5934
_cell_length_c 9.6804
_cell_angle_alpha 90.00
_cell_angle_beta 103.76
_cell_angle_gamma 90.00
_symmetry_space_group_name_H-M 'P 1 21/c 1'
_symmetry_Int_Tables_number 14
loop_
_symmetry_equiv_pos_as_xyz
'x,y,z'
'-x,-y,-z'
'-x,y+1/2,-z+1/2'
'x,-y+1/2,z+1/2'
loop_
_atom_site_label
_atom_site_fract_x
_atom_site_fract_y
_atom_site_fract_z
Rb1 0.1919 0.1112 0.0630
Ga1 0.1981 0.6589 0.9369
B1 0.3371 0.0475 0.6999
P1 0.0708 0.5626 0.2097
P2 0.4160 0.7333 0.7262
H1 0.3919 0.0539 0.5036
O1 0.0747 0.5206 0.8013
O2 0.0754 0.6594 0.0775
O3 0.0963 0.6581 0.3485
O4 0.1953 0.0664 0.7344
O5 0.3063 0.0384 0.5412
O6 0.3415 0.7081 0.5696
O7 0.3508 0.6332 0.8263
O8 0.4182 0.1910 0.7499
O9 0.4195 0.5901 0.2682
```

2.
## Rb2GaB5H8O14 (PBE)

Data for Rb2GaB5H8O14 after structural relaxation.

The structure in CIF format:
```
data_Rb2GaB5H8O14
_cell_length_a 9.4978
_cell_length_b 10.8129
_cell_length_c 14.0276
_cell_angle_alpha 90.00
_cell_angle_beta 90.00
_cell_angle_gamma 90.00
_symmetry_space_group_name_H-M 'C 2 2 21'
_symmetry_Int_Tables_number 20
loop_
_symmetry_equiv_pos_as_xyz
'x,y,z'
'-x,-y,z+1/2'
'x,-y,-z'
'-x,y,-z+1/2'
'x+1/2,y+1/2,z'
'-x+1/2,-y+1/2,z+1/2'
'x+1/2,-y+1/2,-z'
'-x+1/2,y+1/2,-z+1/2'
loop_
_atom_site_label
_atom_site_fract_x
_atom_site_fract_y
_atom_site_fract_z
Rb1 0.1465 0.2278 0.3441
Ga1 0.1280 0.5000 0.0000
B1 0.0000 0.2030 0.7500
B2 0.0231 0.2828 0.5828
B3 0.1739 0.1124 0.6314
H1 0.0656 0.4890 0.2159
H2 0.1190 0.0112 0.2046
H3 0.1635 0.0589 0.1048
H4 0.1719 0.4313 0.4957
O1 0.0000 0.4348 0.2500
O2 0.0058 0.3658 0.9882
O3 0.0433 0.2816 0.8309
O4 0.1159 0.0861 0.1637
O5 0.1207 0.1220 0.7227
O6 0.1292 0.1960 0.5614
O7 0.2301 0.4777 0.1110
O8 0.2407 0.5000 0.5000
```

3.
## SrGaB2H (PBE)

Data for SrGaB2H after structural relaxation.

The structure in CIF format:
```
data_SrGaB2H
_cell_length_a 3.9604
_cell_length_b 3.9604
_cell_length_c 6.2889
_cell_angle_alpha 90.00
_cell_angle_beta 90.00
_cell_angle_gamma 90.00
_symmetry_space_group_name_H-M 'P 4/m m m'
_symmetry_Int_Tables_number 123
_symmetry_space_group_name_Hall '-P 4 2'
loop_
_atom_site_label
_atom_site_fract_x
_atom_site_fract_y
_atom_site_fract_z
Sr1 0.0000 0.0000 0.0000
Ga1 0.0000 0.0000 0.5000
B1 0.0000 0.5000 0.5000
H1 0.5000 0.5000 0.0000
```

4.
## Zn2GaBH (PBE)

Data for Zn2GaBH after structural relaxation.

The structure in CIF format:
```
data_Zn2GaBH
_cell_length_a 4.5923
_cell_length_b 4.5923
_cell_length_c 2.9124
_cell_angle_alpha 90.00
_cell_angle_beta 90.00
_cell_angle_gamma 90.00
_symmetry_space_group_name_H-M 'P 4/m m m'
_symmetry_Int_Tables_number 123
_symmetry_space_group_name_Hall '-P 4 2'
loop_
_atom_site_label
_atom_site_fract_x
_atom_site_fract_y
_atom_site_fract_z
Zn1 0.0000 0.5000 0.0000
Ga1 0.0000 0.0000 0.5000
B1 0.5000 0.5000 0.0000
H1 0.5000 0.5000 0.5000
```

5.
# PBE Hf4Ga2B, relaxed
# **E_form**: -25.5 kJ/mol of atoms
data_Hf4Ga2B
_cell_length_a 4.4228
_cell_length_b 4.4228
_cell_length_c 14.2065
_cell_angle_alpha 90.00
_cell_angle_beta 90.00
_cell_angle_gamma 90.00
_symmetry_space_group_name_H-M 'I 4/m m m'
_symmetry_Int_Tables_number 139
_symmetry_space_group_name_Hall '-I 4 2'
loop_
_atom_site_label
_atom_site_fract_x
_atom_site_fract_y
_atom_site_fract_z
Hf1 0.0000 0.0000 0.1648
Hf2 0.0000 0.5000 0.0000
Ga1 0.0000 0.0000 0.3630
B1 0.0000 0.0000 0.0000

6.
# PBE Hf4GaB, relaxed
# **E_form**: -12.7 kJ/mol of atoms
data_Hf4GaB
_cell_length_a 6.4705
_cell_length_b 6.0028
_cell_length_c 6.0192
_cell_angle_alpha 90.00
_cell_angle_beta 90.82
_cell_angle_gamma 90.00
_symmetry_space_group_name_H-M 'P 1 21/c 1'
_symmetry_Int_Tables_number 14
loop_
_symmetry_equiv_pos_as_xyz
'x,y,z'
'-x,-y,-z'
'-x,y+1/2,-z+1/2'
'x,-y+1/2,z+1/2'
loop_
_atom_site_label
_atom_site_fract_x
_atom_site_fract_y
_atom_site_fract_z
Hf1 0.1254 0.1539 0.1681
Hf2 0.3183 0.6278 0.1154
Ga1 0.5000 0.0000 0.0000
B1 0.0000 0.0000 0.5000

Number 1: M_tot 0.0000 μB per atom, E -6.77 eV per atom. Number 2: M_tot 0.0041 μB per atom, E -6.31 eV per atom. Number 3: M_tot 0.0000 μB per atom, E -3.28 eV per atom. Number 4: M_tot 0.0000 μB per atom, E -2.65 eV per atom. Number 5: M_tot 0.0000 μB per atom, E -7.77 eV per atom. Number 6: M_tot 0.0000 μB per atom, E -8.38 eV per atom.